--- i ---
TcAu2Cl | PBE-GGA | relaxed Values from VASP.

The structure in Quantum ESPRESSO input format:
```
&SYSTEM
  ibrav = 0, nat = 4, ntyp = 3
/
ATOMIC_SPECIES
Tc 98.00 Tc.upf
Au 196.97 Au.upf
Cl 35.45 Cl.upf
ATOMIC_POSITIONS angstrom
Tc 0.000 0.000 0.000
Au 0.000 2.275 2.800
Au 1.488 0.000 2.800
Cl 1.488 2.275 0.000
CELL_PARAMETERS angstrom
2.977 0.000 0.000
0.000 4.549 0.000
0.000 0.000 5.599
```

Output
Space-group type: Pmmm, No. 47



--- ii ---
TcAu2Cl | PBE-GGA | relaxed Values from VASP.

The structure in Quantum ESPRESSO input format:
```
&SYSTEM
  ibrav = 0, nat = 8, ntyp = 3
/
ATOMIC_SPECIES
Tc 98.00 Tc.upf
Au 196.97 Au.upf
Cl 35.45 Cl.upf
ATOMIC_POSITIONS angstrom
Tc 0.000 0.000 0.000
Tc 1.453 2.558 0.000
Au 0.000 0.000 5.398
Au 0.000 2.558 7.939
Au 1.453 0.000 7.939
Au 1.453 2.558 5.398
Cl 0.000 2.558 1.875
Cl 1.453 0.000 1.875
CELL_PARAMETERS angstrom
2.906 0.000 0.000
0.000 5.117 0.000
0.000 0.000 10.322
```

Output
Space-group type: Cmm2, No. 35



Quick one: least stable of them? i



--- i ---
TcAu2Cl | PBE-GGA | relaxed Values from VASP.

The structure in Quantum ESPRESSO input format:
```
&SYSTEM
  ibrav = 0, nat = 4, ntyp = 3
/
ATOMIC_SPECIES
Tc 98.00 Tc.upf
Au 196.97 Au.upf
Cl 35.45 Cl.upf
ATOMIC_POSITIONS angstrom
Tc 0.000 0.000 0.000
Au 0.000 0.000 4.064
Au 1.468 1.468 1.985
Cl 1.468 1.468 7.330
CELL_PARAMETERS angstrom
2.936 0.000 0.000
0.000 2.936 0.000
0.000 0.000 8.700
```

Output
Space-group type: P4mm, No. 99



--- ii ---
TcAu2Cl | PBE-GGA | relaxed Values from VASP.

The structure in Quantum ESPRESSO input format:
```
&SYSTEM
  ibrav = 0, nat = 4, ntyp = 3
/
ATOMIC_SPECIES
Tc 98.00 Tc.upf
Au 196.97 Au.upf
Cl 35.45 Cl.upf
ATOMIC_POSITIONS angstrom
Tc 0.000 0.000 0.000
Au 0.002 0.000 4.033
Au 1.414 1.522 1.968
Cl 1.766 1.522 7.339
CELL_PARAMETERS angstrom
2.826 0.000 0.000
0.000 3.045 0.000
-1.059 0.000 9.072
```

Output
Space-group type: Pm, No. 6



--- iii ---
TcAu2Cl | PBE-GGA | relaxed Values from VASP.

The structure in Quantum ESPRESSO input format:
```
&SYSTEM
  ibrav = 0, nat = 12, ntyp = 3
/
ATOMIC_SPECIES
Tc 98.00 Tc.upf
Au 196.97 Au.upf
Cl 35.45 Cl.upf
ATOMIC_POSITIONS angstrom
Tc 0.000 0.000 0.000
Tc 0.000 1.760 17.444
Tc 1.524 0.880 8.722
Au 0.000 0.000 6.590
Au 0.000 0.000 19.576
Au 0.000 1.760 10.854
Au 0.000 1.760 24.035
Au 1.524 0.880 2.132
Au 1.524 0.880 15.313
Cl 0.000 0.000 13.083
Cl 0.000 1.760 4.361
Cl 1.524 0.880 21.805
CELL_PARAMETERS angstrom
3.048 0.000 0.000
-1.524 2.640 0.000
0.000 0.000 26.166
```

Output
Space-group type: R-3m, No. 166



Quick one: least stable of them? iii



--- i ---
TcAu2Cl | PBE-GGA | relaxed Values from VASP.

The structure in Quantum ESPRESSO input format:
```
&SYSTEM
  ibrav = 0, nat = 8, ntyp = 3
/
ATOMIC_SPECIES
Tc 98.00 Tc.upf
Au 196.97 Au.upf
Cl 35.45 Cl.upf
ATOMIC_POSITIONS angstrom
Tc 0.000 0.000 0.000
Tc 1.423 2.304 6.604
Au 0.000 0.000 7.252
Au 0.000 2.304 9.006
Au 1.423 0.000 2.402
Au 1.423 2.304 0.648
Cl 0.000 2.304 4.721
Cl 1.423 0.000 11.325
CELL_PARAMETERS angstrom
2.845 0.000 0.000
0.000 4.609 0.000
0.000 0.000 13.208
```

Output
Space-group type: Imm2, No. 44



--- ii ---
TcAu2Cl | PBE-GGA | relaxed Values from VASP.

The structure in Quantum ESPRESSO input format:
```
&SYSTEM
  ibrav = 0, nat = 8, ntyp = 3
/
ATOMIC_SPECIES
Tc 98.00 Tc.upf
Au 196.97 Au.upf
Cl 35.45 Cl.upf
ATOMIC_POSITIONS angstrom
Tc 0.000 0.000 0.000
Tc 2.356 2.356 3.350
Au 0.000 0.000 3.350
Au 0.000 2.356 5.025
Au 2.356 0.000 1.675
Au 2.356 2.356 0.000
Cl 0.000 2.356 1.675
Cl 2.356 0.000 5.025
CELL_PARAMETERS angstrom
4.713 0.000 0.000
0.000 4.713 0.000
0.000 0.000 6.700
```

Output
Space-group type: I-4m2, No. 119



--- iii ---
TcAu2Cl | PBE-GGA | relaxed Values from VASP.

The structure in Quantum ESPRESSO input format:
```
&SYSTEM
  ibrav = 0, nat = 8, ntyp = 3
/
ATOMIC_SPECIES
Tc 98.00 Tc.upf
Au 196.97 Au.upf
Cl 35.45 Cl.upf
ATOMIC_POSITIONS angstrom
Tc 0.000 0.000 0.000
Tc 4.602 1.482 0.000
Au 1.265 0.000 5.745
Au 3.776 0.000 4.343
Au 5.867 1.482 5.745
Au 8.378 1.482 4.343
Cl 0.211 1.482 1.830
Cl 4.813 0.000 1.830
CELL_PARAMETERS angstrom
9.204 0.000 0.000
0.000 2.963 0.000
-1.230 0.000 6.672
```

Output
Space-group type: Cm, No. 8



Quick one: least stable of them? ii



--- i ---
TcAu2Cl | PBE-GGA | relaxed Values from VASP.

The structure in Quantum ESPRESSO input format:
```
&SYSTEM
  ibrav = 0, nat = 4, ntyp = 3
/
ATOMIC_SPECIES
Tc 98.00 Tc.upf
Au 196.97 Au.upf
Cl 35.45 Cl.upf
ATOMIC_POSITIONS angstrom
Tc 0.000 0.000 0.000
Au 0.000 1.930 2.645
Au 1.930 0.000 2.645
Cl 1.930 1.930 0.000
CELL_PARAMETERS angstrom
3.859 0.000 0.000
0.000 3.859 0.000
0.000 0.000 5.290
```

Output
Space-group type: P4/mmm, No. 123



--- ii ---
TcAu2Cl | PBE-GGA | relaxed Values from VASP.

The structure in Quantum ESPRESSO input format:
```
&SYSTEM
  ibrav = 0, nat = 8, ntyp = 3
/
ATOMIC_SPECIES
Tc 98.00 Tc.upf
Au 196.97 Au.upf
Cl 35.45 Cl.upf
ATOMIC_POSITIONS angstrom
Tc 0.000 0.000 0.000
Tc 1.416 2.122 6.319
Au 0.000 2.122 3.851
Au 0.000 2.122 8.786
Au 1.416 0.000 2.468
Au 1.416 0.000 10.170
Cl 0.000 0.000 6.319
Cl 1.416 2.122 0.000
CELL_PARAMETERS angstrom
2.833 0.000 0.000
0.000 4.244 0.000
0.000 0.000 12.638
```

Output
Space-group type: Immm, No. 71



--- iii ---
TcAu2Cl | PBE-GGA | relaxed Values from VASP.

The structure in Quantum ESPRESSO input format:
```
&SYSTEM
  ibrav = 0, nat = 8, ntyp = 3
/
ATOMIC_SPECIES
Tc 98.00 Tc.upf
Au 196.97 Au.upf
Cl 35.45 Cl.upf
ATOMIC_POSITIONS angstrom
Tc 0.000 0.000 0.000
Tc 2.644 4.803 0.000
Au 1.322 2.401 1.409
Au 1.322 7.204 1.409
Au 3.966 2.401 1.409
Au 3.966 7.204 1.409
Cl 0.000 4.803 0.000
Cl 2.644 0.000 0.000
CELL_PARAMETERS angstrom
5.288 0.000 0.000
0.000 9.605 0.000
0.000 0.000 2.818
```

Output
Space-group type: Cmmm, No. 65



Quick one: least stable of them? i